# 1
Here is LiMgOs2 after structural relaxation from Alexandria via LeMat-Bulk. Energies are from PBE.

abc: 2.796 3.820 5.657
angles: 90.00 90.23 90.00
Space group Pm (No. 6)
One atom of each set of equivalent atoms:
Li (0.000, 0.000, 0.000) [1 per cell]
Mg (0.498, 0.500, 0.237) [1 per cell]
Os (0.001, 0.000, 0.539) [1 per cell]
Os (0.502, 0.500, 0.725) [1 per cell]

Formation energy from the elements (eV/atom): 0.1349
Volume (Å³/cell): 60
N(E_F) (states/eV/atom): 0.3798

# 2
Here is LiMgOs2 after structural relaxation from Alexandria via LeMat-Bulk. Energies are from PBE.

abc: 2.872 4.496 9.062
angles: 90.00 90.00 90.00
Space group Cmmm (No. 65)
One atom of each set of equivalent atoms:
Li (0.000, 0.000, 0.000) [2 per cell]
Mg (0.000, 0.000, 0.500) [2 per cell]
Os (0.000, 0.500, 0.249) [4 per cell]

Formation energy from the elements (eV/atom): 0.2705
Volume (Å³/cell): 117
N(E_F) (states/eV/atom): 0.8196

# 3
Here is LiMgOs after structural relaxation from Alexandria via LeMat-Bulk. Energies are from PBE.

abc: 4.4855 4.4855 2.5691
angles: 90.00 90.00 120.00
Space group P3m1 (No. 156)
One atom of each set of equivalent atoms:
Li (0.0000, 0.0000, 0.0000) [1 per cell]
Mg (0.6667, 0.3333, 0.2428) [1 per cell]
Os (0.3333, 0.6667, 0.6784) [1 per cell]

Formation energy from the elements (eV/atom): 0.1906
Volume (Å³/cell): 45
N(E_F) (states/eV/atom): 0.9343
Energy above the lowest structure with this stoichiometry (meV per atom): 165

# 4
Here is Li2MgOs after structural relaxation from Alexandria via LeMat-Bulk. Energies are from PBE.

abc: 5.422 9.371 2.635
angles: 90.00 115.32 90.00
Space group C2/m (No. 12)
One atom of each set of equivalent atoms:
Li (0.250, 0.250, 0.000) [4 per cell]
Mg (0.000, 0.000, 0.500) [2 per cell]
Os (0.000, 0.500, 0.500) [2 per cell]

Formation energy from the elements (eV/atom): 0.1652
Volume (Å³/cell): 121
N(E_F) (states/eV/atom): 0.3454

# 5
Here is LiMgPaOs after structural relaxation from Alexandria via LeMat-Bulk. Energies are from PBE.

abc: 6.658 6.658 6.658
angles: 90.00 90.00 90.00
Space group F-43m (No. 216)
One atom of each set of equivalent atoms:
Li (0.000, 0.000, 0.000) [4 per cell]
Mg (0.250, 0.250, 0.750) [4 per cell]
Pa (0.250, 0.250, 0.250) [4 per cell]
Os (0.000, 0.000, 0.500) [4 per cell]

Formation energy from the elements (eV/atom): -0.0098
Volume (Å³/cell): 295
N(E_F) (states/eV/atom): 1.0160

# 6
Here is LiPmMgOs after structural relaxation from Alexandria via LeMat-Bulk. Energies are from PBE.

abc: 6.795 6.795 6.795
angles: 90.00 90.00 90.00
Space group F-43m (No. 216)
One atom of each set of equivalent atoms:
Li (0.000, 0.000, 0.000) [4 per cell]
Pm (0.250, 0.250, 0.750) [4 per cell]
Mg (0.250, 0.250, 0.250) [4 per cell]
Os (0.000, 0.000, 0.500) [4 per cell]

Formation energy from the elements (eV/atom): 0.0547
Volume (Å³/cell): 314
N(E_F) (states/eV/atom): 0.1314

# 7
Here is Li2MgOsPt after structural relaxation from Alexandria via LeMat-Bulk. Energies are from PBE.

abc: 4.427 4.427 4.929
angles: 90.00 90.00 90.00
Space group P4/mmm (No. 123)
One atom of each set of equivalent atoms:
Li (0.000, 0.500, 0.000) [2 per cell]
Mg (0.000, 0.000, 0.500) [1 per cell]
Os (0.500, 0.500, 0.500) [1 per cell]
Pt (0.000, 0.000, 0.000) [1 per cell]

Formation energy from the elements (eV/atom): 0.8457
Volume (Å³/cell): 97
N(E_F) (states/eV/atom): 0.3950

# 8
Here is LiPuMgOs after structural relaxation from Alexandria via LeMat-Bulk. Energies are from PBE.

abc: 6.644 6.644 6.644
angles: 90.00 90.00 90.00
Space group F-43m (No. 216)
One atom of each set of equivalent atoms:
Li (0.000, 0.000, 0.000) [4 per cell]
Pu (0.250, 0.250, 0.250) [4 per cell]
Mg (0.250, 0.250, 0.750) [4 per cell]
Os (0.000, 0.000, 0.500) [4 per cell]

Formation energy from the elements (eV/atom): 0.1099
Volume (Å³/cell): 293
N(E_F) (states/eV/atom): 2.1014

# 9
Here is LiMgReOs after structural relaxation from Alexandria via LeMat-Bulk. Energies are from PBE.

abc: 6.106 6.106 6.106
angles: 90.00 90.00 90.00
Space group F-43m (No. 216)
One atom of each set of equivalent atoms:
Li (0.000, 0.000, 0.000) [4 per cell]
Mg (0.250, 0.250, 0.750) [4 per cell]
Re (0.250, 0.250, 0.250) [4 per cell]
Os (0.000, 0.000, 0.500) [4 per cell]

Formation energy from the elements (eV/atom): 0.0307
Volume (Å³/cell): 228
N(E_F) (states/eV/atom): 0.2541

# 10
Here is LiMgOs2Rh after structural relaxation from Alexandria via LeMat-Bulk. Energies are from PBE.

abc: 4.141 4.141 4.242
angles: 90.00 90.00 90.00
Space group P4/mmm (No. 123)
One atom of each set of equivalent atoms:
Li (0.000, 0.000, 0.000) [1 per cell]
Mg (0.500, 0.500, 0.500) [1 per cell]
Os (0.000, 0.500, 0.000) [2 per cell]
Rh (0.000, 0.000, 0.500) [1 per cell]

Formation energy from the elements (eV/atom): 1.0340
Volume (Å³/cell): 73
N(E_F) (states/eV/atom): 1.3431
Energy above the lowest structure with this stoichiometry (meV per atom): 0

# 11
Here is LiMgOs2Rh after structural relaxation from Alexandria via LeMat-Bulk. Energies are from PBE.

abc: 4.575 4.575 4.492
angles: 90.00 90.00 90.00
Space group P4/mmm (No. 123)
One atom of each set of equivalent atoms:
Li (0.000, 0.000, 0.000) [1 per cell]
Mg (0.500, 0.500, 0.500) [1 per cell]
Os (0.000, 0.500, 0.500) [2 per cell]
Rh (0.500, 0.500, 0.000) [1 per cell]

Formation energy from the elements (eV/atom): 1.9267
Volume (Å³/cell): 94
N(E_F) (states/eV/atom): 1.4769
Energy above the lowest structure with this stoichiometry (meV per atom): 893

# 12
Here is LiMgOsRu after structural relaxation from Alexandria via LeMat-Bulk. Energies are from PBE.

abc: 6.077 6.077 6.077
angles: 90.00 90.00 90.00
Space group F-43m (No. 216)
One atom of each set of equivalent atoms:
Li (0.000, 0.000, 0.000) [4 per cell]
Mg (0.250, 0.250, 0.250) [4 per cell]
Os (0.250, 0.250, 0.750) [4 per cell]
Ru (0.000, 0.000, 0.500) [4 per cell]

Formation energy from the elements (eV/atom): 0.0715
Volume (Å³/cell): 224
N(E_F) (states/eV/atom): 0.8487
Energy above the lowest structure with this stoichiometry (meV per atom): 0

# 13
Here is Li2MgOsRu after structural relaxation from Alexandria via LeMat-Bulk. Energies are from PBE.

abc: 4.116 4.116 4.767
angles: 90.00 90.00 90.00
Space group P4/mmm (No. 123)
One atom of each set of equivalent atoms:
Li (0.000, 0.500, 0.000) [2 per cell]
Mg (0.000, 0.000, 0.000) [1 per cell]
Os (0.000, 0.000, 0.500) [1 per cell]
Ru (0.500, 0.500, 0.500) [1 per cell]

Formation energy from the elements (eV/atom): 1.3699
Volume (Å³/cell): 81
N(E_F) (states/eV/atom): 0.6606

# 14
Here is LiSmMgOs after structural relaxation from Alexandria via LeMat-Bulk. Energies are from PBE.

abc: 6.774 6.774 6.774
angles: 90.00 90.00 90.00
Space group F-43m (No. 216)
One atom of each set of equivalent atoms:
Li (0.000, 0.000, 0.000) [4 per cell]
Sm (0.250, 0.250, 0.750) [4 per cell]
Mg (0.250, 0.250, 0.250) [4 per cell]
Os (0.000, 0.000, 0.500) [4 per cell]

Formation energy from the elements (eV/atom): 0.0393
Volume (Å³/cell): 311
N(E_F) (states/eV/atom): 0.1133

# 15
Here is LiMgSnOs2 after structural relaxation from Alexandria via LeMat-Bulk. Energies are from PBE.

abc: 4.658 4.658 4.996
angles: 90.00 90.00 90.00
Space group P4/mmm (No. 123)
One atom of each set of equivalent atoms:
Li (0.000, 0.000, 0.000) [1 per cell]
Mg (0.500, 0.500, 0.500) [1 per cell]
Sn (0.500, 0.500, 0.000) [1 per cell]
Os (0.000, 0.500, 0.500) [2 per cell]

Formation energy from the elements (eV/atom): 1.7610
Volume (Å³/cell): 108
N(E_F) (states/eV/atom): 0.9675

# 16
Here is LiMgTaOs after structural relaxation from Alexandria via LeMat-Bulk. Energies are from PBE.

abc: 6.294 6.294 6.294
angles: 90.00 90.00 90.00
Space group F-43m (No. 216)
One atom of each set of equivalent atoms:
Li (0.000, 0.000, 0.000) [4 per cell]
Mg (0.250, 0.250, 0.750) [4 per cell]
Ta (0.250, 0.250, 0.250) [4 per cell]
Os (0.000, 0.000, 0.500) [4 per cell]

Formation energy from the elements (eV/atom): -0.0296
Volume (Å³/cell): 249
N(E_F) (states/eV/atom): 0.6842

# 17
Here is LiMgTcOs after structural relaxation from Alexandria via LeMat-Bulk. Energies are from PBE.

abc: 6.107 6.107 6.107
angles: 90.00 90.00 90.00
Space group F-43m (No. 216)
One atom of each set of equivalent atoms:
Li (0.000, 0.000, 0.000) [4 per cell]
Mg (0.250, 0.250, 0.250) [4 per cell]
Tc (0.250, 0.250, 0.750) [4 per cell]
Os (0.000, 0.000, 0.500) [4 per cell]

Formation energy from the elements (eV/atom): 0.0277
Volume (Å³/cell): 228
N(E_F) (states/eV/atom): 0.1961

# 18
Here is LiTmMgOs after structural relaxation from Alexandria via LeMat-Bulk. Energies are from PBE.

abc: 6.640 6.640 6.640
angles: 90.00 90.00 90.00
Space group F-43m (No. 216)
One atom of each set of equivalent atoms:
Li (0.000, 0.000, 0.000) [4 per cell]
Tm (0.250, 0.250, 0.750) [4 per cell]
Mg (0.250, 0.250, 0.250) [4 per cell]
Os (0.000, 0.000, 0.500) [4 per cell]

Formation energy from the elements (eV/atom): -0.0610
Volume (Å³/cell): 293
N(E_F) (states/eV/atom): 0.2357

# 19
Here is LiMgUOs after structural relaxation from Alexandria via LeMat-Bulk. Energies are from PBE.

abc: 6.616 6.616 6.616
angles: 90.00 90.00 90.00
Space group F-43m (No. 216)
One atom of each set of equivalent atoms:
Li (0.000, 0.000, 0.000) [4 per cell]
Mg (0.250, 0.250, 0.250) [4 per cell]
U (0.250, 0.250, 0.750) [4 per cell]
Os (0.000, 0.000, 0.500) [4 per cell]

Formation energy from the elements (eV/atom): 0.2069
Volume (Å³/cell): 290
N(E_F) (states/eV/atom): 2.0840

# 20
Here is LiMgOs2W after structural relaxation from Alexandria via LeMat-Bulk. Energies are from PBE.

abc: 4.580 4.580 3.628
angles: 90.00 90.00 90.00
Space group P4/mmm (No. 123)
One atom of each set of equivalent atoms:
Li (0.000, 0.000, 0.000) [1 per cell]
Mg (0.000, 0.000, 0.500) [1 per cell]
Os (0.000, 0.500, 0.500) [2 per cell]
W (0.500, 0.500, 0.000) [1 per cell]

Formation energy from the elements (eV/atom): 1.6101
Volume (Å³/cell): 76
N(E_F) (states/eV/atom): 1.1854
Energy above the lowest structure with this stoichiometry (meV per atom): 88

# 21
Here is LiMgOsW after structural relaxation from Alexandria via LeMat-Bulk. Energies are from PBE.

abc: 6.182 6.182 6.182
angles: 90.00 90.00 90.00
Space group F-43m (No. 216)
One atom of each set of equivalent atoms:
Li (0.000, 0.000, 0.000) [4 per cell]
Mg (0.250, 0.250, 0.750) [4 per cell]
Os (0.000, 0.000, 0.500) [4 per cell]
W (0.250, 0.250, 0.250) [4 per cell]

Formation energy from the elements (eV/atom): 0.0906
Volume (Å³/cell): 236
N(E_F) (states/eV/atom): 0.6904

# 22
Here is LiMgOs2W after structural relaxation from Alexandria via LeMat-Bulk. Energies are from PBE.

abc: 4.723 4.723 5.177
angles: 90.00 90.00 90.00
Space group P4/mmm (No. 123)
One atom of each set of equivalent atoms:
Li (0.000, 0.000, 0.000) [1 per cell]
Mg (0.500, 0.500, 0.000) [1 per cell]
Os (0.000, 0.500, 0.500) [2 per cell]
W (0.500, 0.500, 0.500) [1 per cell]

Formation energy from the elements (eV/atom): 1.5224
Volume (Å³/cell): 115
N(E_F) (states/eV/atom): 1.0557
Energy above the lowest structure with this stoichiometry (meV per atom): 0

# 23
Here is Li2YMgOs after structural relaxation from Alexandria via LeMat-Bulk. Energies are from PBE.

abc: 4.357 4.357 5.650
angles: 90.00 90.00 90.00
Space group P4/mmm (No. 123)
One atom of each set of equivalent atoms:
Li (0.000, 0.500, 0.000) [2 per cell]
Y (0.000, 0.000, 0.500) [1 per cell]
Mg (0.000, 0.000, 0.000) [1 per cell]
Os (0.500, 0.500, 0.500) [1 per cell]

Formation energy from the elements (eV/atom): 1.1142
Volume (Å³/cell): 107
N(E_F) (states/eV/atom): 0.8354

# 24
Here is LiYMgOs after structural relaxation from Alexandria via LeMat-Bulk. Energies are from PBE.

abc: 6.712 6.712 6.712
angles: 90.00 90.00 90.00
Space group F-43m (No. 216)
One atom of each set of equivalent atoms:
Li (0.000, 0.000, 0.000) [4 per cell]
Y (0.250, 0.250, 0.250) [4 per cell]
Mg (0.250, 0.250, 0.750) [4 per cell]
Os (0.000, 0.000, 0.500) [4 per cell]

Formation energy from the elements (eV/atom): -0.0065
Volume (Å³/cell): 302
N(E_F) (states/eV/atom): 0.2374

# 25
Here is Li2MgP after structural relaxation from Alexandria via LeMat-Bulk. Energies are from PBE.

abc: 3.332 3.332 5.867
angles: 90.00 90.00 90.00
Space group P4/mmm (No. 123)
One atom of each set of equivalent atoms:
Li (0.000, 0.000, 0.202) [2 per cell]
Mg (0.500, 0.500, 0.500) [1 per cell]
P (0.500, 0.500, 0.000) [1 per cell]

Formation energy from the elements (eV/atom): -0.2484
Volume (Å³/cell): 65
N(E_F) (states/eV/atom): 0.3110
Energy above the lowest structure with this stoichiometry (meV per atom): 191

# 26
Here is Li3MgP after structural relaxation from Alexandria via LeMat-Bulk. Energies are from PBE.

abc: 4.734 4.734 4.734
angles: 90.00 90.00 90.00
Space group Pm-3m (No. 221)
One atom of each set of equivalent atoms:
Li (0.000, 0.000, 0.500) [3 per cell]
Mg (0.500, 0.500, 0.500) [1 per cell]
P (0.000, 0.000, 0.000) [1 per cell]

Formation energy from the elements (eV/atom): -0.2376
Volume (Å³/cell): 106
N(E_F) (states/eV/atom): 0.0942
Energy above the lowest structure with this stoichiometry (meV per atom): 0

# 27
Here is Li2MgP after structural relaxation from Alexandria via LeMat-Bulk. Energies are from PBE.

abc: 3.056 4.022 5.603
angles: 90.00 105.05 90.00
Space group Pm (No. 6)
One atom of each set of equivalent atoms:
Li (0.000, 0.000, 0.000) [1 per cell]
Li (0.400, 0.500, 0.806) [1 per cell]
Mg (0.674, 0.500, 0.342) [1 per cell]
P (0.275, 0.000, 0.558) [1 per cell]

Formation energy from the elements (eV/atom): -0.2940
Volume (Å³/cell): 67
N(E_F) (states/eV/atom): 0.2263
Energy above the lowest structure with this stoichiometry (meV per atom): 145

# 28
Here is LiMg4P after structural relaxation from Alexandria via LeMat-Bulk. Energies are from PBE.

abc: 8.106 8.106 8.106
angles: 90.00 90.00 90.00
Space group F-43m (No. 216)
One atom of each set of equivalent atoms:
Li (0.000, 0.000, 0.000) [4 per cell]
Mg (0.124, 0.124, 0.624) [16 per cell]
P (0.250, 0.250, 0.250) [4 per cell]

Formation energy from the elements (eV/atom): 0.2313
Volume (Å³/cell): 533
N(E_F) (states/eV/atom): 0.6830

# 29
Here is Li2MgP after structural relaxation from Alexandria via LeMat-Bulk. Energies are from PBE.

abc: 3.0397 3.0397 26.9874
angles: 90.00 90.00 120.00
Space group R-3m (No. 166, hexagonal axes)
One atom of each set of equivalent atoms:
Li (0.0000, 0.0000, 0.2327) [6 per cell]
Mg (0.0000, 0.0000, 0.0000) [3 per cell]
P (0.0000, 0.0000, 0.5000) [3 per cell]

Formation energy from the elements (eV/atom): -0.1500
Volume (Å³/cell): 216
N(E_F) (states/eV/atom): 0.2126
Energy above the lowest structure with this stoichiometry (meV per atom): 289

# 30
Here is LiMgP3 after structural relaxation from Alexandria via LeMat-Bulk. Energies are from PBE.

abc: 4.422 4.422 4.422
angles: 90.00 90.00 90.00
Space group Pm-3m (No. 221)
One atom of each set of equivalent atoms:
Li (0.000, 0.000, 0.000) [1 per cell]
Mg (0.500, 0.500, 0.500) [1 per cell]
P (0.000, 0.000, 0.500) [3 per cell]

Formation energy from the elements (eV/atom): 0.5150
Volume (Å³/cell): 86
N(E_F) (states/eV/atom): 0.5393
Energy above the lowest structure with this stoichiometry (meV per atom): 0